Record 1
VASP calculation (PBE-GGA) on crystalline Li2AgRu at its relaxed geometry.

Cell: 3.946 3.946 3.678 Å, 90.00 90.00 90.00°
Sites, in units of the cell vectors:
Li (0.000, 0.500, 0.000)
Li (0.500, 0.000, 0.000)
Ag (0.000, 0.000, 0.500)
Ru (0.500, 0.500, 0.500)

The value obtained for the final energy is -14.8 eV/cell. The calculated formation energy is 0.2891 eV per atom. Its space group is No. 123. Its energy above the lowest structure with this stoichiometry is 226 meV/atom. Its density of states at the Fermi level is 2.73 states/eV per cell.

=====

Record 2
VASP calculation (PBE-GGA) on crystalline Li2AgRu at its relaxed geometry.

Cell: 4.287 4.287 4.287 Å, 60.00 60.00 60.00°
Sites, in units of the cell vectors:
Li (0.250, 0.250, 0.250)
Li (0.750, 0.750, 0.750)
Ag (0.000, 0.000, 0.000)
Ru (0.500, 0.500, 0.500)

The value obtained for the final energy is -14.7 eV/cell. The calculated formation energy is 0.3218 eV per atom. Its space group is No. 225. Its energy above the lowest structure with this stoichiometry is 259 meV/atom. Its density of states at the Fermi level is 3.40 states/eV per cell.

=====

Record 3
VASP calculation (PBE-GGA) on crystalline Li2AgRu at its relaxed geometry.

Cell: 5.420 5.420 5.420 Å, 151.72 129.92 58.51°
Sites, in units of the cell vectors:
Li (0.000, 0.000, 0.000)
Li (0.755, 0.255, 0.500)
Ag (0.513, 0.513, 0.000)
Ru (0.251, 0.751, 0.500)

The value obtained for the final energy is -15.2 eV/cell. The calculated formation energy is 0.1979 eV per atom. Its space group is No. 44. Its energy above the lowest structure with this stoichiometry is 135 meV/atom. Its density of states at the Fermi level is 2.11 states/eV per cell.